Entry 1:
The following is a DFT calculation (PBE) of SrBeB2Ir after structural relaxation.

Cell lengths 4.2936, 4.6072, 4.2936 Å; angles 90.00, 90.00, 90.00 degrees
Atoms (fractional coordinates):
Sr (0.0000, 0.0000, 0.0000)
B (0.0000, 0.0000, 0.5000)
B (0.5000, 0.0000, 0.0000)
Ir (0.5000, 0.5000, 0.5000)
Be (0.0000, 0.5000, 0.0000)

---

Entry 2:
The following is a DFT calculation (PBE) of Ca2PaNiS5 after structural relaxation.

Results
**Uncorrected formation energy**: -149 kJ per mole of atoms

Cell lengths 3.8776, 8.6472, 12.0133 Å; angles 90.00, 90.00, 102.96 degrees
Last column: magnetic moment on the atom in μB.
Atoms (fractional coordinates):
Ca (0.8978, 0.7956, 0.8507)  0.00
Ca (0.1076, 0.2153, 0.6855)  0.00
Ca (0.1022, 0.2044, 0.3507)  0.00
Ca (0.8924, 0.7847, 0.1855)  0.00
Pa (0.8076, 0.6151, 0.5235)  -0.01
Pa (0.1924, 0.3849, 0.0235)  -0.01
Ni (0.5654, 0.1309, 0.9259)  0.17
Ni (0.4346, 0.8691, 0.4259)  0.17
S (0.3507, 0.7013, 0.0170)  0.00
S (0.6947, 0.3895, 0.8691)  0.01
S (0.5001, 0.0001, 0.7630)  0.01
S (0.2997, 0.5994, 0.6776)  0.00
S (0.9632, 0.9264, 0.5117)  0.02
S (0.6493, 0.2987, 0.5170)  0.00
S (0.3053, 0.6105, 0.3691)  0.01
S (0.4999, 0.9999, 0.2630)  0.01
S (0.7003, 0.4006, 0.1776)  0.00
S (0.0368, 0.0736, 0.0117)  0.02

---

Entry 3:
The following is a DFT calculation (PBE) of Tb3PrEr after structural relaxation.

Results
**Offset from the most stable computed form**: 0.267 eV per atom

Cell lengths 3.6234, 8.6444, 11.5788 Å; angles 90.00, 90.00, 102.57 degrees
Atoms (fractional coordinates):
Tb (0.8488, 0.1861, 0.0008)
Tb (0.1512, 0.8139, 0.9992)
Tb (0.8488, 0.1861, 0.4992)
Tb (0.1512, 0.8139, 0.5008)
Tb (0.7054, 0.8619, 0.2500)
Tb (0.2946, 0.1381, 0.7500)
Pr (0.0911, 0.5142, 0.2500)
Pr (0.9089, 0.4858, 0.7500)
Er (0.3674, 0.1764, 0.2500)
Er (0.6326, 0.8236, 0.7500)

---

Entry 4:
The following is a DFT calculation (PBE) of Mg2AlSbC after structural relaxation.

Results
**Uncorrected formation energy**: -2 kJ per mole of atoms

Cell lengths 4.5699, 4.5699, 4.0308 Å; angles 90.00, 90.00, 90.00 degrees
Atoms (fractional coordinates):
C (0.0000, 0.0000, 0.0000)
Sb (0.5000, 0.5000, 0.5000)
Mg (0.0000, 0.5000, 0.0000)
Mg (0.5000, 0.0000, 0.0000)
Al (0.0000, 0.0000, 0.5000)

---

no.,energy (eV/atom)
1,-2.431
2,-5.980
3,-4.362
4,-4.081